Record 1
The following is a PBE-GGA calculation of a geometry-optimized Cu6Pt3Au structure, from the Alexandria database.

The structure in CIF format:
```
data_Cu6Pt3Au
_cell_length_a 5.523
_cell_length_b 7.037
_cell_length_c 9.082
_cell_angle_alpha 90.00
_cell_angle_beta 127.22
_cell_angle_gamma 90.00
_symmetry_space_group_name_H-M 'P 1 21/c 1'
_symmetry_Int_Tables_number 14
loop_
_symmetry_equiv_pos_as_xyz
'x,y,z'
'-x,-y,-z'
'-x,y+1/2,-z+1/2'
'x,-y+1/2,z+1/2'
loop_
_atom_site_label
_atom_site_type_symbol
_atom_site_fract_x
_atom_site_fract_y
_atom_site_fract_z
Cu1 Cu 0.106 0.190 0.356
Cu2 Cu 0.112 0.123 0.629
Cu3 Cu 0.344 0.616 0.866
Pt1 Pt 0.000 0.000 0.000
Pt2 Pt 0.420 0.676 0.172
Au1 Au 0.500 0.000 0.000
```

Values from the calculation:
**Formation energy from the elements**: 0.0066 eV/atom
**Total DFT energy (no corrections)**: -4.591 eV/atom


Record 2
The following is a PBE-GGA calculation of a geometry-optimized Cu2PtAu structure, from the Alexandria database.

The structure in CIF format:
```
data_Cu2PtAu
_cell_length_a 3.821
_cell_length_b 3.821
_cell_length_c 7.996
_cell_angle_alpha 90.00
_cell_angle_beta 90.00
_cell_angle_gamma 90.00
_symmetry_space_group_name_H-M 'I -4 m 2'
_symmetry_Int_Tables_number 119
_symmetry_space_group_name_Hall 'I -4 -2'
loop_
_atom_site_label
_atom_site_type_symbol
_atom_site_fract_x
_atom_site_fract_y
_atom_site_fract_z
Cu1 Cu 0.000 0.000 0.000
Cu2 Cu 0.000 0.500 0.250
Pt1 Pt 0.000 0.500 0.750
Au1 Au 0.000 0.000 0.500
```

Values from the calculation:
**Formation energy from the elements**: -0.0607 eV/atom
**Total DFT energy (no corrections)**: -4.438 eV/atom


Record 3
The following is a PBE-GGA calculation of a geometry-optimized Cu3Pt2Au structure, from the Alexandria database.

The structure in CIF format:
```
data_Cu3Pt2Au
_cell_length_a 2.793
_cell_length_b 2.793
_cell_length_c 10.984
_cell_angle_alpha 90.00
_cell_angle_beta 90.00
_cell_angle_gamma 90.00
_symmetry_space_group_name_H-M 'P 4/m m m'
_symmetry_Int_Tables_number 123
_symmetry_space_group_name_Hall '-P 4 2'
loop_
_atom_site_label
_atom_site_type_symbol
_atom_site_fract_x
_atom_site_fract_y
_atom_site_fract_z
Cu1 Cu 0.000 0.000 0.000
Cu2 Cu 0.000 0.000 0.326
Pt1 Pt 0.500 0.500 0.164
Au1 Au 0.500 0.500 0.500
```

Values from the calculation:
**Formation energy from the elements**: -0.1236 eV/atom
**Total DFT energy (no corrections)**: -4.732 eV/atom